{
  "formula": "Na4Pu3TiS8",
  "functional": "PBE-GGA",
  "state": "relaxed",
  "formation_energy_uncorrected_ev_per_atom": -1.482,
  "mass_density_g_cm3": 5.29,
  "e_tot_ev_per_atom": -7.056,
  "magnetic_moment_mub_per_cell": 16.00,
  "dos_ef_per_ev_atom": 1.610,
  "cell": [[3.920, 2.263, 6.654], [-3.920, 2.263, 6.654], [0.000, -4.527, 6.654]],
  "species": ["Na", "Na", "Na", "Na", "Pu", "Pu", "Pu", "Ti", "S", "S", "S", "S", "S", "S", "S", "S"],
  "frac_coords": [[0.000, 0.000, 0.000], [0.000, 0.500, 0.500], [0.500, 0.000, 0.500], [0.500, 0.500, 0.000], [0.000, 0.000, 0.500], [0.000, 0.500, 0.000], [0.500, 0.000, 0.000], [0.500, 0.500, 0.500], [0.244, 0.244, 0.244], [0.260, 0.730, 0.730], [0.270, 0.270, 0.740], [0.270, 0.740, 0.270], [0.730, 0.260, 0.730], [0.730, 0.730, 0.260], [0.740, 0.270, 0.270], [0.756, 0.756, 0.756]]
}